[1]
Below is a relaxed structure of RbTb, with properties calculated at the PBE level.

Values from the calculation:
uncorrected energy: -1.47 eV/atom

Lattice parameters (Å, degrees): 7.278 7.278 7.278 90.00 90.00 90.00
Space group Fm-3m (No. 225)
One atom of each set of equivalent atoms:
Rb 0.000 0.000 0.000 [4 per cell]
Tb 0.000 0.000 0.500 [4 per cell]



[2]
Below is a relaxed structure of RbTbTe, with properties calculated at the PBE level.

Values from the calculation:
uncorrected energy: -3.11 eV/atom

Lattice parameters (Å, degrees): 7.708 7.708 7.708 90.00 90.00 90.00
Space group F-43m (No. 216)
One atom of each set of equivalent atoms:
Rb 0.000 0.000 0.000 [4 per cell]
Tb 0.000 0.000 0.500 [4 per cell]
Te 0.250 0.250 0.250 [4 per cell]



[3]
Below is a relaxed structure of Rb2TbYTe4, with properties calculated at the PBE level.

Values from the calculation:
uncorrected energy: -4.59 eV/atom

Lattice parameters (Å, degrees): 4.5214 4.5214 17.1154 90.00 90.00 120.00
Space group P-3m1 (No. 164)
One atom of each set of equivalent atoms:
Rb 0.3333 0.6667 0.2501 [2 per cell]
Tb 0.0000 0.0000 0.0000 [1 per cell]
Y 0.0000 0.0000 0.5000 [1 per cell]
Te 0.3333 0.6667 0.6004 [2 per cell]
Te 0.3333 0.6667 0.8992 [2 per cell]



[4]
Below is a relaxed structure of RbTbTl, with properties calculated at the PBE level.

Values from the calculation:
uncorrected energy: -2.23 eV/atom

Lattice parameters (Å, degrees): 7.918 7.918 7.918 90.00 90.00 90.00
Space group F-43m (No. 216)
One atom of each set of equivalent atoms:
Rb 0.000 0.000 0.000 [4 per cell]
Tb 0.000 0.000 0.500 [4 per cell]
Tl 0.250 0.250 0.250 [4 per cell]



[5]
Below is a relaxed structure of RbTbTm, with properties calculated at the PBE level.

Values from the calculation:
uncorrected energy: -2.11 eV/atom

Lattice parameters (Å, degrees): 8.374 8.374 8.374 90.00 90.00 90.00
Space group F-43m (No. 216)
One atom of each set of equivalent atoms:
Rb 0.000 0.000 0.000 [4 per cell]
Tb 0.000 0.000 0.500 [4 per cell]
Tm 0.250 0.250 0.250 [4 per cell]



[6]
Below is a relaxed structure of RbTbU, with properties calculated at the PBE level.

Values from the calculation:
energy relative to the lowest polymorph listed for this composition: 0.0 meV per atom
uncorrected energy: -3.72 eV/atom

Lattice parameters (Å, degrees): 8.263 8.263 8.263 90.00 90.00 90.00
Space group F-43m (No. 216)
One atom of each set of equivalent atoms:
Rb 0.000 0.000 0.000 [4 per cell]
Tb 0.250 0.250 0.750 [4 per cell]
U 0.000 0.000 0.500 [4 per cell]



[7]
Below is a relaxed structure of RbTbZr, with properties calculated at the PBE level.

Values from the calculation:
uncorrected energy: -3.22 eV/atom

Lattice parameters (Å, degrees): 8.152 8.152 8.152 90.00 90.00 90.00
Space group F-43m (No. 216)
One atom of each set of equivalent atoms:
Rb 0.000 0.000 0.000 [4 per cell]
Tb 0.000 0.000 0.500 [4 per cell]
Zr 0.250 0.250 0.250 [4 per cell]



[8]
Below is a relaxed structure of RbTc, with properties calculated at the PBE level.

Values from the calculation:
energy relative to the lowest polymorph listed for this composition: 1493.7 meV per atom
uncorrected energy: -2.81 eV/atom

Lattice parameters (Å, degrees): 8.164 8.164 8.164 90.00 90.00 90.00
Space group F-43m (No. 216)
One atom of each set of equivalent atoms:
Rb 0.000 0.000 0.000 [4 per cell]
Tc 0.250 0.250 0.750 [4 per cell]



Question: Which value of uncorrected energy does entry 4 give?
Answer: -2.23 eV/atom



Repeat the sixth record exactly.
Below is a relaxed structure of RbTbU, with properties calculated at the PBE level.

Values from the calculation:
energy relative to the lowest polymorph listed for this composition: 0.0 meV per atom
uncorrected energy: -3.72 eV/atom

Lattice parameters (Å, degrees): 8.263 8.263 8.263 90.00 90.00 90.00
Space group F-43m (No. 216)
One atom of each set of equivalent atoms:
Rb 0.000 0.000 0.000 [4 per cell]
Tb 0.250 0.250 0.750 [4 per cell]
U 0.000 0.000 0.500 [4 per cell]